TaTlGe2I after structural relaxation. Source: Alexandria via LeMat-Bulk, functional PBE-GGA.

Density of states at the Fermi level, states/eV/cell: 4.81
Calculated volume, Å³/cell: 160
VASP energy, eV per formula unit: -17.2
Mass density, g/cm³: 6.82
Total magnetic moment, μB per formula unit: 1.365
Formation energy (no corrections), eV/atom: 1.55

CIF file:
```
data_TaTlGe2I
_chemical_formula_sum 'Ta1 Tl1 Ge2 I1'
_cell_length_a 5.5774
_cell_length_b 5.5774
_cell_length_c 5.1434
_cell_angle_alpha 90.00
_cell_angle_beta 90.00
_cell_angle_gamma 90.00
_space_group_name_H-M_alt 'P 4/m m m'
_space_group_IT_number 123
_space_group_name_Hall '-P 4 2'
loop_
_atom_site_label
_atom_site_fract_x
_atom_site_fract_y
_atom_site_fract_z
Ta1 0.0000 0.0000 0.0000
Tl1 0.5000 0.5000 0.0000
Ge1 0.0000 0.5000 0.5000
I1 0.0000 0.0000 0.5000
```